Entry 1:
CePm4U3N8: relaxed, PBE.

Size of the total moment in Bohr magnetons per cell: 2.5
Uncorrected formation energy in eV per formula unit: -23.08

Geometry as POSCAR:
```
CePm4U3N8
1.0
7.051 0.000 0.000
0.000 7.065 0.005
-3.525 -3.522 4.988
U N Pm Ce
3 8 4 1
Direct
0.000 0.500 0.500 U
0.500 0.500 0.500 U
0.500 0.500 0.000 U
0.752 0.283 0.505 N
0.752 0.283 0.031 N
0.248 0.717 0.495 N
0.722 0.717 0.969 N
0.262 0.286 0.524 N
0.738 0.714 0.476 N
0.248 0.717 0.969 N
0.278 0.283 0.031 N
0.000 0.000 0.000 Pm
0.500 0.000 0.000 Pm
0.000 0.000 0.500 Pm
0.500 0.000 0.500 Pm
0.000 0.500 0.000 Ce
```

***

Entry 2:
HfTc3W: relaxed, PBE.

Formation enthalpy at 0 K in kJ per mole of atoms: 118.6
Size of the total moment in Bohr magnetons per cell: 0.0

Geometry as POSCAR:
```
HfTc3W
1.0
-4.177 -1.700 -1.177
0.263 -3.070 3.498
-2.051 3.068 2.847
W Tc Hf
1 3 1
Direct
0.000 0.000 0.000 W
0.000 0.000 0.500 Tc
0.000 0.500 0.000 Tc
0.500 0.000 0.000 Tc
0.500 0.500 0.500 Hf
```